Sr6Mg7H26, relaxed, DFT PBE; raw total energy = -3.167 eV/atom
1.0
-1.464 7.511 -5.583
-4.593 3.311 -7.594
-9.239 6.856 0.054
H Sr Mg
26 6 7
Cartesian
-3.201 4.937 -5.332
-7.101 11.549 -9.399
-5.303 5.578 -6.879
-6.867 9.077 -8.275
-5.916 9.046 -5.706
-8.195 6.128 -3.724
-8.570 9.577 -10.343
-4.916 10.000 -9.445
-10.380 7.678 -3.678
-6.243 10.403 -12.014
-12.096 12.741 -7.791
-6.726 8.101 -2.780
-13.038 15.262 -11.591
-8.864 9.713 -2.704
-6.253 5.587 -1.941
-9.381 8.632 -7.417
-7.788 10.770 -6.393
-6.432 7.965 -10.419
-2.258 2.416 -1.531
-9.993 12.100 -6.244
-7.508 6.908 -6.730
-9.053 7.275 -1.109
-8.429 8.600 -4.848
-11.384 10.233 -7.138
-9.044 12.091 -11.182
-3.912 7.445 -5.985
-9.527 11.240 -8.653
-4.767 7.616 -8.490
-5.769 6.438 -4.470
-10.529 10.062 -4.633
-4.097 3.978 -1.933
-11.199 13.700 -11.190
-2.267 6.433 -6.099
-3.790 4.388 -7.078
-6.659 9.865 -10.244
-8.637 7.812 -2.879
-8.530 12.563 -12.968
-6.767 5.115 -0.155
-7.648 8.839 -6.561